# 1
Below is a relaxed structure of Pm7Si2Sn3, with properties calculated at the PBE-GGA level.

DFT total energy: -121.550 eV for the cell shown

CIF file:
```
data_Pm7Si2Sn3
_cell_length_a 5.470
_cell_length_b 26.163
_cell_length_c 5.351
_cell_angle_alpha 90.00
_cell_angle_beta 90.00
_cell_angle_gamma 90.00
_symmetry_space_group_name_H-M 'C m m m'
_symmetry_Int_Tables_number 65
_symmetry_space_group_name_Hall '-C 2 2'
loop_
_atom_site_label
_atom_site_type_symbol
_atom_site_fract_x
_atom_site_fract_y
_atom_site_fract_z
_atom_site_occupancy
Pm1 Pm 0.000 0.000 0.000 1
Pm2 Pm 0.000 0.099 0.500 1
Pm3 Pm 0.000 0.211 0.000 1
Pm4 Pm 0.000 0.391 0.000 1
Si1 Si 0.000 0.106 0.000 1
Sn1 Sn 0.000 0.311 0.500 1
Sn2 Sn 0.000 0.500 0.500 1
```



# 2
Below is a relaxed structure of LaHf2Pt, with properties calculated at the PBE-GGA level.

E_form: -226 meV per atom

CIF file:
```
data_LaHf2Pt
_cell_length_a 6.911
_cell_length_b 6.911
_cell_length_c 6.911
_cell_angle_alpha 90.00
_cell_angle_beta 90.00
_cell_angle_gamma 90.00
_symmetry_space_group_name_H-M 'F m -3 m'
_symmetry_Int_Tables_number 225
_symmetry_space_group_name_Hall '-F 4 2 3'
loop_
_atom_site_label
_atom_site_type_symbol
_atom_site_fract_x
_atom_site_fract_y
_atom_site_fract_z
_atom_site_occupancy
La1 La 0.000 0.000 0.000 1
Hf1 Hf 0.250 0.250 0.250 1
Pt1 Pt 0.000 0.000 0.500 1
```



Copy entry 1 word for word.
Below is a relaxed structure of Pm7Si2Sn3, with properties calculated at the PBE-GGA level.

DFT total energy: -121.550 eV for the cell shown

CIF file:
```
data_Pm7Si2Sn3
_cell_length_a 5.470
_cell_length_b 26.163
_cell_length_c 5.351
_cell_angle_alpha 90.00
_cell_angle_beta 90.00
_cell_angle_gamma 90.00
_symmetry_space_group_name_H-M 'C m m m'
_symmetry_Int_Tables_number 65
_symmetry_space_group_name_Hall '-C 2 2'
loop_
_atom_site_label
_atom_site_type_symbol
_atom_site_fract_x
_atom_site_fract_y
_atom_site_fract_z
_atom_site_occupancy
Pm1 Pm 0.000 0.000 0.000 1
Pm2 Pm 0.000 0.099 0.500 1
Pm3 Pm 0.000 0.211 0.000 1
Pm4 Pm 0.000 0.391 0.000 1
Si1 Si 0.000 0.106 0.000 1
Sn1 Sn 0.000 0.311 0.500 1
Sn2 Sn 0.000 0.500 0.500 1
```